Run A
Below is a relaxed structure of Mg6In2Hg, with properties calculated at the PBE level.

a = 3.5415 Å, b = 8.1749 Å, c = 8.1743 Å
α = 120.00°, β = 90.00°, γ = 90.00°
Element x y z (fractional)
Mg 0.5000 0.6282 0.0000
Mg 0.5000 0.3718 0.3718
Mg 0.5000 0.0000 0.6282
Mg 0.0000 0.2777 0.0000
Mg 0.0000 0.7223 0.7223
Mg 0.0000 0.0000 0.2777
In 0.0000 0.3333 0.6667
In 0.0000 0.6667 0.3333
Hg 0.5000 0.0000 0.0000

---

Run B
Below is a relaxed structure of Mg6In2Hg, with properties calculated at the PBE level.

a = 4.4697 Å, b = 5.4989 Å, c = 9.4833 Å
α = 104.44°, β = 90.00°, γ = 113.98°
Element x y z (fractional)
Mg 0.3402 0.6804 0.9454
Mg 0.6598 0.3196 0.0546
Mg 0.9923 0.9846 0.1724
Mg 0.6577 0.3153 0.3962
Mg 0.0077 0.0154 0.8276
Mg 0.3423 0.6847 0.6038
In 0.6848 0.3696 0.7341
In 0.3152 0.6304 0.2659
Hg 0.0000 0.0000 0.5000

---

Most stable of them? run A.

---

Run A
Below is a relaxed structure of Mg4InHg, with properties calculated at the PBE level.

a = 4.7461 Å, b = 4.7475 Å, c = 8.3351 Å
α = 73.39°, β = 73.46°, γ = 60.01°
Element x y z (fractional)
Mg 0.6256 0.6259 0.1228
Mg 0.3744 0.3741 0.8772
Mg 0.1224 0.1226 0.6327
Mg 0.8776 0.8774 0.3673
In 0.5000 0.5000 0.5000
Hg 0.0000 0.0000 0.0000

---

Run B
Below is a relaxed structure of Mg4InHg, with properties calculated at the PBE level.

a = 3.4620 Å, b = 7.9974 Å, c = 5.0762 Å
α = 90.00°, β = 90.00°, γ = 90.00°
Element x y z (fractional)
Mg 0.5000 0.7021 0.9998
Mg 0.5000 0.2979 0.0002
Mg 0.0000 0.1872 0.5002
Mg 0.0000 0.8128 0.4998
In 0.5000 0.5000 0.5000
Hg 0.0000 0.0000 0.0000

---

Most stable of them? run B.

---

Run A
Below is a relaxed structure of Mg6In12Hg, with properties calculated at the PBE level.

a = 7.8504 Å, b = 7.8504 Å, c = 7.8504 Å
α = 86.16°, β = 86.16°, γ = 86.16°
Element x y z (fractional)
Mg 0.2640 0.1133 0.7303
Mg 0.8867 0.2697 0.7360
Mg 0.2697 0.7360 0.8867
Mg 0.7360 0.8867 0.2697
Mg 0.1133 0.7303 0.2640
Mg 0.7303 0.2640 0.1133
In 0.5618 0.2015 0.4710
In 0.2015 0.4710 0.5618
In 0.4710 0.5618 0.2015
In 0.4382 0.7985 0.5290
In 0.7985 0.5290 0.4382
In 0.5290 0.4382 0.7985
In 0.9666 0.8419 0.6236
In 0.3764 0.0334 0.1581
In 0.1581 0.3764 0.0334
In 0.0334 0.1581 0.3764
In 0.6236 0.9666 0.8419
In 0.8419 0.6236 0.9666
Hg 0.0000 0.0000 0.0000

---

Run B
Below is a relaxed structure of Mg6In12Hg, with properties calculated at the PBE level.

a = 8.3819 Å, b = 8.3819 Å, c = 8.3819 Å
α = 107.08°, β = 107.08°, γ = 107.08°
Element x y z (fractional)
Mg 0.8471 0.8492 0.5950
Mg 0.4050 0.1529 0.1509
Mg 0.1509 0.4050 0.1529
Mg 0.1529 0.1509 0.4050
Mg 0.5950 0.8471 0.8492
Mg 0.8492 0.5950 0.8471
In 0.8012 0.4435 0.4413
In 0.4413 0.8012 0.4435
In 0.4435 0.4413 0.8012
In 0.1988 0.5565 0.5587
In 0.5587 0.1988 0.5565
In 0.5565 0.5587 0.1988
In 0.9985 0.7282 0.2701
In 0.2718 0.7299 0.0015
In 0.7299 0.0015 0.2718
In 0.0015 0.2718 0.7299
In 0.7282 0.2701 0.9985
In 0.2701 0.9985 0.7282
Hg 0.0000 0.0000 0.0000

---

Most stable of them? run A.

---

Run A
Below is a relaxed structure of Mg2InHg7, with properties calculated at the PBE level.

a = 4.6331 Å, b = 8.7438 Å, c = 8.7439 Å
α = 123.56°, β = 90.00°, γ = 90.00°
Element x y z (fractional)
Mg 0.5000 0.6901 0.3099
Mg 0.5000 0.3099 0.6901
In 0.0000 0.0000 0.0000
Hg 0.0000 0.7901 0.2099
Hg 0.0000 0.2099 0.7901
Hg 0.5000 0.0783 0.3025
Hg 0.5000 0.9217 0.6975
Hg 0.5000 0.3025 0.0783
Hg 0.5000 0.6975 0.9217
Hg 0.5000 0.5000 0.5000

---

Run B
Below is a relaxed structure of Mg2InHg7, with properties calculated at the PBE level.

a = 4.5541 Å, b = 4.5541 Å, c = 12.9690 Å
α = 100.11°, β = 100.11°, γ = 90.00°
Element x y z (fractional)
Mg 0.6747 0.6747 0.3494
Mg 0.3253 0.3253 0.6506
In 0.0000 0.0000 0.0000
Hg 0.1009 0.6009 0.2018
Hg 0.3991 0.8991 0.7982
Hg 0.6009 0.1009 0.2018
Hg 0.5000 0.5000 0.0000
Hg 0.7500 0.2500 0.5000
Hg 0.8991 0.3991 0.7982
Hg 0.2500 0.7500 0.5000

---

Most stable of them? run B.

---

Run A
Below is a relaxed structure of Mg2In2Hg7, with properties calculated at the PBE level.

a = 3.4909 Å, b = 10.2073 Å, c = 10.2073 Å
α = 51.98°, β = 80.15°, γ = 80.15°
Element x y z (fractional)
Mg 0.7390 0.8688 0.6532
Mg 0.2610 0.3468 0.1312
In 0.0000 0.7038 0.2962
In 0.5000 0.3472 0.6528
Hg 0.8415 0.0581 0.2589
Hg 0.8524 0.4410 0.8542
Hg 0.5000 0.0080 0.9920
Hg 0.6318 0.4648 0.2715
Hg 0.3682 0.7285 0.5352
Hg 0.1585 0.7411 0.9419
Hg 0.1476 0.1458 0.5590

---

Run B
Below is a relaxed structure of Mg2In2Hg7, with properties calculated at the PBE level.

a = 3.5837 Å, b = 10.4129 Å, c = 10.4129 Å
α = 48.91°, β = 106.84°, γ = 106.84°
Element x y z (fractional)
Mg 0.7046 0.2582 0.2582
Mg 0.2954 0.7418 0.7418
In 0.0000 0.2915 0.7085
In 0.0000 0.7085 0.2915
Hg 0.9452 0.0246 0.6513
Hg 0.0548 0.3487 0.9754
Hg 0.0548 0.9754 0.3487
Hg 0.9452 0.6513 0.0246
Hg 0.5000 0.0000 0.0000
Hg 0.5894 0.6108 0.6108
Hg 0.4106 0.3892 0.3892

---

Most stable of them? run B.

---

Run A
Below is a relaxed structure of Mg2InHg4, with properties calculated at the PBE level.

a = 4.9544 Å, b = 7.0433 Å, c = 9.8904 Å
α = 90.00°, β = 90.00°, γ = 90.00°
Element x y z (fractional)
Mg 0.5000 0.9994 0.7336
Mg 0.5000 0.0006 0.2664
Mg 0.5000 0.4994 0.7664
Mg 0.5000 0.5006 0.2336
In 0.0000 0.0000 0.5000
In 0.0000 0.5000 0.0000
Hg 0.0000 0.7481 0.7489
Hg 0.0000 0.2519 0.2511
Hg 0.0000 0.2481 0.7511
Hg 0.0000 0.7519 0.2489
Hg 0.5000 0.7124 0.4998
Hg 0.5000 0.2876 0.5002
Hg 0.5000 0.7876 0.9998
Hg 0.5000 0.2124 0.0002

---

Run B
Below is a relaxed structure of Mg2InHg4, with properties calculated at the PBE level.

a = 5.7053 Å, b = 5.7304 Å, c = 11.1594 Å
α = 114.40°, β = 144.14°, γ = 81.76°
Element x y z (fractional)
Mg 0.7017 0.6856 0.4947
Mg 0.2983 0.3144 0.5053
In 0.0000 0.0000 0.0000
Hg 0.9807 0.2580 0.6249
Hg 0.0193 0.7420 0.3751
Hg 0.5000 0.0000 0.0000
Hg 0.0000 0.5000 0.0000

---

Most stable of them? run A.

---

Run A
Below is a relaxed structure of Mg2In3Hg, with properties calculated at the PBE level.

a = 4.6761 Å, b = 4.6761 Å, c = 7.0279 Å
α = 90.00°, β = 90.00°, γ = 90.00°
Element x y z (fractional)
Mg 0.5000 0.0000 0.7144
Mg 0.0000 0.5000 0.2856
In 0.5000 0.0000 0.3018
In 0.0000 0.5000 0.6982
In 0.0000 0.0000 0.0000
Hg 0.5000 0.5000 0.0000

---

Run B
Below is a relaxed structure of Mg2In3Hg, with properties calculated at the PBE level.

a = 3.1907 Å, b = 4.5357 Å, c = 10.2291 Å
α = 90.00°, β = 90.00°, γ = 90.00°
Element x y z (fractional)
Mg 0.0000 0.5000 0.0022
Mg 0.0000 0.0000 0.4827
In 0.5000 0.0000 0.8488
In 0.5000 0.0000 0.1631
In 0.5000 0.5000 0.6517
Hg 0.5000 0.5000 0.3515

---

Most stable of them? run B.

---

Run A
Below is a relaxed structure of MgIn3Hg3, with properties calculated at the PBE level.

a = 5.7296 Å, b = 8.4855 Å, c = 8.4855 Å
α = 120.00°, β = 90.00°, γ = 90.00°
Element x y z (fractional)
Mg 0.2500 0.6667 0.3333
Mg 0.7500 0.3333 0.6667
In 0.7500 0.6175 0.5235
In 0.7500 0.4765 0.0939
In 0.7500 0.9061 0.3825
In 0.2500 0.3825 0.4765
In 0.2500 0.5235 0.9061
In 0.2500 0.0939 0.6175
Hg 0.2500 0.8151 0.7495
Hg 0.2500 0.2505 0.0655
Hg 0.2500 0.9345 0.1849
Hg 0.7500 0.1849 0.2505
Hg 0.7500 0.7495 0.9345
Hg 0.7500 0.0655 0.8151

---

Run B
Below is a relaxed structure of MgIn3Hg3, with properties calculated at the PBE level.

a = 6.5807 Å, b = 6.5807 Å, c = 10.3189 Å
α = 90.17°, β = 90.17°, γ = 58.71°
Element x y z (fractional)
Mg 0.2482 0.2482 0.9999
Mg 0.7518 0.7518 0.0001
In 0.2547 0.2547 0.5001
In 0.2560 0.7440 0.5000
In 0.7440 0.2560 0.5000
In 0.2593 0.7407 0.0000
In 0.7407 0.2593 0.0000
In 0.7453 0.7453 0.4999
Hg 0.0000 0.0000 0.7484
Hg 0.5000 0.0002 0.2383
Hg 0.0002 0.5000 0.2383
Hg 0.5000 0.9998 0.7617
Hg 0.9998 0.5000 0.7617
Hg 0.0000 0.0000 0.2516

---

Most stable of them? run A.

---

Run A
Below is a relaxed structure of MgIn2Hg2, with properties calculated at the PBE level.

a = 7.5972 Å, b = 7.5972 Å, c = 4.5115 Å
α = 90.00°, β = 90.00°, γ = 90.00°
Element x y z (fractional)
Mg 0.0000 0.0000 0.0000
Mg 0.5000 0.5000 0.0000
Hg 0.3545 0.8545 0.0000
Hg 0.8545 0.6455 0.0000
Hg 0.6455 0.1455 0.0000
Hg 0.1455 0.3545 0.0000
In 0.1621 0.6621 0.5000
In 0.6621 0.8379 0.5000
In 0.8379 0.3379 0.5000
In 0.3379 0.1621 0.5000

---

Run B
Below is a relaxed structure of MgIn2Hg2, with properties calculated at the PBE level.

a = 4.2936 Å, b = 4.2936 Å, c = 7.8850 Å
α = 74.20°, β = 74.20°, γ = 90.00°
Element x y z (fractional)
Mg 0.0000 0.0000 0.0000
Hg 0.4034 0.4034 0.1932
Hg 0.5966 0.5966 0.8068
In 0.7500 0.2500 0.5000
In 0.2500 0.7500 0.5000

---

Run C
Below is a relaxed structure of MgIn2Hg2, with properties calculated at the PBE level.

a = 7.9389 Å, b = 7.9389 Å, c = 4.1862 Å
α = 90.00°, β = 90.00°, γ = 90.00°
Element x y z (fractional)
Mg 0.0000 0.0000 0.0000
Mg 0.5000 0.5000 0.0000
Hg 0.1652 0.6652 0.5000
Hg 0.6652 0.8348 0.5000
Hg 0.8348 0.3348 0.5000
Hg 0.3348 0.1652 0.5000
In 0.3618 0.8618 0.0000
In 0.8618 0.6382 0.0000
In 0.6382 0.1382 0.0000
In 0.1382 0.3618 0.0000

---

Run D
Below is a relaxed structure of MgIn2Hg2, with properties calculated at the PBE level.

a = 3.6152 Å, b = 3.6152 Å, c = 9.6969 Å
α = 100.74°, β = 100.74°, γ = 90.00°
Element x y z (fractional)
Mg 0.0000 0.0000 0.0000
In 0.8060 0.8060 0.6120
In 0.1940 0.1940 0.3880
Hg 0.5885 0.5885 0.1769
Hg 0.4115 0.4115 0.8231

---

Most stable of them? run D.